Record 1
Here is KVTe2N after structural relaxation from Alexandria. Energies are from PBE.

DOS at the Fermi energy ... 3.06 states/eV/f.u.
Raw formation energy ... -0.218 eV/atom
DFT total energy ... -5.183 eV/atom

Geometry as POSCAR:
```
KVTe2N
1.0
-4.397 1.217 3.654
2.690 -2.998 4.236
1.706 3.013 1.049
Te K N V
2 1 1 1
Direct
0.000 0.500 0.000 Te
0.500 0.000 0.000 Te
0.500 0.500 0.500 K
0.000 0.000 0.500 N
0.000 0.000 0.000 V
```

***

Record 2
Here is La2ErSn after structural relaxation from Alexandria. Energies are from PBE.

DOS at the Fermi energy ... 4.72 states/eV/f.u.
DFT total energy ... -4.539 eV/atom

Geometry as POSCAR:
```
La2ErSn
1.0
-1.206 2.841 -1.837
-1.674 -0.472 -3.143
-11.777 -0.002 4.220
Er Sn La
1 1 2
Direct
0.500 0.500 0.500 Er
0.000 0.000 0.000 Sn
0.912 0.912 0.264 La
0.088 0.088 0.736 La
```

***

Record 3
Here is Mg3As after structural relaxation from Alexandria. Energies are from PBE.

DOS at the Fermi energy ... 1.60 states/eV/f.u.
DFT total energy ... -2.517 eV/atom

Geometry as POSCAR:
```
Mg3As
1.0
3.745 0.000 0.000
0.000 3.745 0.000
0.000 0.000 5.918
Mg As
3 1
Direct
0.500 0.500 0.763 Mg
0.500 0.500 0.237 Mg
0.000 0.000 0.500 Mg
0.000 0.000 0.000 As
```

***

Record 4
Here is CaLaH after structural relaxation from Alexandria. Energies are from PBE.

DOS at the Fermi energy ... 1.99 states/eV/f.u.
DFT total energy ... -3.659 eV/atom

Geometry as POSCAR:
```
CaLaH
1.0
-2.850 -2.070 -1.664
0.882 -0.565 3.752
-12.713 13.472 5.018
Ca La H
3 3 3
Direct
0.000 0.000 0.124 Ca
0.333 0.667 0.791 Ca
0.667 0.333 0.458 Ca
0.000 0.000 0.632 La
0.333 0.667 0.299 La
0.667 0.333 0.966 La
0.333 0.667 0.671 H
0.667 0.333 0.337 H
0.000 0.000 0.004 H
```

***

Record 5
Here is Ir4Pb after structural relaxation from Alexandria. Energies are from PBE.

DOS at the Fermi energy ... 10.02 states/eV/f.u.
DFT total energy ... -4.999 eV/atom

Geometry as POSCAR:
```
Ir4Pb
1.0
-1.348 1.304 -4.528
-4.706 -0.122 1.365
0.251 4.723 1.285
Ir Pb
4 1
Direct
0.000 0.000 0.000 Ir
0.500 0.500 0.000 Ir
0.000 0.500 0.500 Ir
0.500 0.000 0.500 Ir
0.500 0.500 0.500 Pb
```

***

Record 6
Here is Co3Bi after structural relaxation from Alexandria. Energies are from PBE.

DOS at the Fermi energy ... 5.53 states/eV/f.u.
DFT total energy ... -5.874 eV/atom

Geometry as POSCAR:
```
Co3Bi
1.0
4.585 -0.053 0.000
1.368 4.376 0.000
-2.976 -2.162 2.737
Bi Co
1 3
Direct
0.000 0.000 0.000 Bi
0.750 0.250 0.500 Co
0.250 0.750 0.500 Co
0.500 0.500 0.000 Co
```

***

Which of these has the highest DFT total energy? Mg3As

***

Which of these has the lowest DOS at the Fermi energy? Mg3As

***

Which of these has the highest DFT total energy? Mg3As

***

The highest DOS at the Fermi energy belongs to which entry? Ir4Pb